# 1
HgGe3 PBE relaxed; ΔE_f = 0.34 eV per atom; symmetry = Pm-3m; magnetic moment = 0.0 μB per cell
1.0
-4.213 -0.507 1.089
1.182 -1.037 4.089
-0.216 4.226 1.134
Hg Ge
1 3
direct
0.000 0.000 0.000 Hg
0.000 0.500 0.500 Ge
0.500 0.000 0.500 Ge
0.500 0.500 0.000 Ge


# 2
NaZnIn2S4 PBE relaxed; raw formation energy = -0.676 eV per atom; symmetry = Fmm2; magnetic moment = 0.0 μB per cell
1.0
-4.434 -4.401 0.043
1.271 -0.196 6.113
-2.025 5.940 -2.211
Na Zn In S
1 1 2 4
direct
0.018 0.018 0.036 Na
0.500 0.500 0.000 Zn
0.762 0.262 0.523 In
0.262 0.762 0.523 In
0.595 0.595 0.732 S
0.392 0.835 0.227 S
0.835 0.392 0.227 S
0.136 0.136 0.732 S


# 3
TaIrW2 PBE relaxed; ΔE_f = -0.08 eV per atom; symmetry = Immm; magnetic moment = 0.0 μB per cell
1.0
5.229 0.003 -0.001
2.339 4.677 0.001
-3.433 -2.908 2.665
Ir Ta W
1 1 2
direct
0.750 0.250 0.500 Ir
0.250 0.750 0.500 Ta
0.006 0.006 0.000 W
0.494 0.494 0.000 W


# 4
Zr2AlHIr6 PBE relaxed; calculated total energy = -80.4 eV/f.u.; symmetry = Fm-3m; magnetic moment = 0.0 μB per cell
1.0
-3.438 4.729 1.309
-4.791 -3.579 0.376
-3.349 -0.013 4.966
Zr Al H Ir
2 1 1 6
direct
0.750 0.250 0.500 Zr
0.250 0.750 0.500 Zr
0.000 0.000 0.000 Al
0.500 0.500 0.000 H
0.271 0.271 0.458 Ir
0.729 0.729 0.000 Ir
0.271 0.729 0.000 Ir
0.729 0.271 0.000 Ir
0.271 0.271 0.000 Ir
0.729 0.729 0.542 Ir


# 5
ZrFeBr2 PBE relaxed; raw formation energy = -0.097 eV per atom; symmetry = R-3m; magnetic moment = 2.9 μB per cell
1.0
1.937 0.000 9.036
-0.969 1.678 9.036
-0.969 -1.678 9.036
Br Zr Fe
2 1 1
direct
0.907 0.907 0.907 Br
0.093 0.093 0.093 Br
0.500 0.500 0.500 Zr
0.000 0.000 0.000 Fe


# 6
Na3Ce2Cl8 PBE relaxed; raw formation energy = -1.937 eV per atom; symmetry = C2/m; magnetic moment = 3.0 μB per cell
1.0
-0.233 -1.591 -6.587
6.393 -4.625 0.891
-7.261 -2.569 3.382
Na Ce Cl
3 2 8
direct
0.500 0.000 0.000 Na
0.000 0.264 0.000 Na
0.000 0.736 0.000 Na
0.327 0.260 0.519 Ce
0.673 0.740 0.481 Ce
0.905 0.617 0.235 Cl
0.095 0.383 0.765 Cl
0.933 0.115 0.229 Cl
0.067 0.885 0.771 Cl
0.583 0.639 0.748 Cl
0.583 0.110 0.748 Cl
0.417 0.890 0.252 Cl
0.417 0.361 0.252 Cl


> Which formula does entry 4 have?

Zr2AlHIr6